Th2AlCu3 | Alexandria via LeMat-Bulk | PBE-GGA | optimized geometry; E above lowest polymorph = 0 meV/atom; energy of formation from the pure elements = -231 meV/atom; SG = No. 69; calculated total energy = -5.376 eV per atom
1.0
0.000 4.491 7.764
3.490 0.000 7.764
3.490 4.491 0.000
Th Al Cu
4 2 6
Direct
0.236 0.764 0.764 Th
0.250 0.250 0.250 Th
0.750 0.750 0.750 Th
0.764 0.236 0.236 Th
0.335 0.335 0.665 Al
0.665 0.665 0.335 Al
0.168 0.168 0.832 Cu
0.172 0.663 0.337 Cu
0.337 0.828 0.172 Cu
0.663 0.172 0.828 Cu
0.828 0.337 0.663 Cu
0.832 0.832 0.168 Cu